A plane-wave DFT calculation with PBE was carried out for a relaxed DyCoOs crystal.

The structure belongs to space group Imma (No. 74); the cell edges are 5.113, 5.252 and 7.454 Å and the angles 90.00°, 90.00° and 90.00°. The distinct sites, in fractional coordinates, are Dy at (0.000, 0.250, 0.123), Co at (0.000, 0.000, 0.500) and Os at (0.250, 0.250, 0.750).

The calculation puts the distance to the lowest polymorph of the same formula at 0 meV/atom. The calculation puts the total moment at 0.224 μB/atom. The value obtained for the final energy is -7.9137 eV per atom. The formation energy comes out at -0.268 eV per atom.